The following is a PBE calculation of a relaxed structure of Sn2Pt, from OQMD.

Computed properties:
Its total DFT energy (no corrections) is -4.077 eV/atom. For the calculated density, the calculation gives 9.969 g/cm3. For the spin magnetization, the calculation gives 0.01 μB/cell.

Lattice parameters (Å, degrees): 5.884 5.884 5.884 60.00 60.00 60.00
Sites, in units of the cell vectors:
Pt  0.000  0.000  0.000
Pt  0.250  0.250  0.250
Sn  0.625  0.625  0.125
Sn  0.125  0.625  0.625
Sn  0.625  0.125  0.625
Sn  0.625  0.625  0.625